First-principles (meta-GGA SCAN) data for Fe2Si3 at its PBEsol-relaxed geometry, as listed in Alexandria.

a b c (Å): 9.239 9.239 9.239
angles (deg): 16.67 16.67 16.67
Fractional positions:
1 Fe 0.100 0.100 0.100
2 Fe 0.900 0.900 0.900
3 Si 0.295 0.295 0.295
4 Si 0.500 0.500 0.500
5 Si 0.705 0.705 0.705

Space-group type: No. 166
Electronic total energy: -13.296 eV per atom
Spin magnetization: 0.00 μB/f.u.

---

First-principles (meta-GGA SCAN) data for SmFeSi2 at its PBEsol-relaxed geometry, as listed in Alexandria.

a b c (Å): 4.266 3.974 7.946
angles (deg): 90.00 103.87 90.00
Fractional positions:
1 Sm 0.105 0.250 0.206
2 Sm 0.895 0.750 0.794
3 Fe 0.384 0.250 0.608
4 Fe 0.616 0.750 0.392
5 Si 0.174 0.750 0.496
6 Si 0.455 0.250 0.901
7 Si 0.545 0.750 0.099
8 Si 0.826 0.250 0.504

Space-group type: No. 11
Electronic total energy: -21.295 eV per atom
Spin magnetization: 0.00 μB/f.u.

---

First-principles (meta-GGA SCAN) data for SmFe10Si2 at its PBEsol-relaxed geometry, as listed in Alexandria.

a b c (Å): 8.126 6.225 6.203
angles (deg): 81.67 49.28 49.05
Fractional positions:
1 Sm 0.000 0.000 0.000
2 Fe 0.000 0.500 0.000
3 Fe 0.002 0.640 0.360
4 Fe 0.276 0.500 0.500
5 Fe 0.360 0.998 0.002
6 Fe 0.500 0.000 0.500
7 Fe 0.500 0.276 0.724
8 Fe 0.500 0.724 0.276
9 Fe 0.640 0.002 0.998
10 Fe 0.724 0.500 0.500
11 Fe 0.998 0.360 0.640
12 Si 0.000 0.000 0.500
13 Si 0.500 0.500 0.000

Space-group type: No. 69
Electronic total energy: -19.024 eV per atom
Spin magnetization: 22.39 μB/f.u.

---

no.,raw formation energy (eV/atom)
1,-0.034
2,-0.644
3,-0.118